[1]
First-principles (PBE-GGA) data for PuInGe2O8 after structural relaxation, as listed in Alexandria.

Cell and atoms, written as CIF:
```
data_PuInGe2O8
_chemical_formula_sum 'Pu2 In2 Ge4 O16'
_cell_length_a 6.930
_cell_length_b 6.930
_cell_length_c 6.471
_cell_angle_alpha 90.00
_cell_angle_beta 90.00
_cell_angle_gamma 90.00
_symmetry_space_group_name_H-M 'I -4 m 2'
_symmetry_Int_Tables_number 119
_symmetry_space_group_name_Hall 'I -4 -2'
loop_
_atom_site_label
_atom_site_type_symbol
_atom_site_fract_x
_atom_site_fract_y
_atom_site_fract_z
Pu1 Pu 0.000 0.000 0.000
In1 In 0.000 0.500 0.250
Ge1 Ge 0.000 0.000 0.500
Ge2 Ge 0.000 0.500 0.750
O1 O 0.000 0.185 0.310
O2 O 0.000 0.312 0.935
```

Summary:
**ΔE_f (raw)**: -1.826 eV/atom

***

[2]
First-principles (PBE-GGA) data for MgTcSb after structural relaxation, as listed in Alexandria.

Cell and atoms, written as CIF:
```
data_MgTcSb
_chemical_formula_sum 'Mg4 Tc4 Sb4'
_cell_length_a 6.300
_cell_length_b 6.300
_cell_length_c 6.300
_cell_angle_alpha 90.00
_cell_angle_beta 90.00
_cell_angle_gamma 90.00
_symmetry_space_group_name_H-M 'F -4 3 m'
_symmetry_Int_Tables_number 216
_symmetry_space_group_name_Hall 'F -4 2 3'
loop_
_atom_site_label
_atom_site_type_symbol
_atom_site_fract_x
_atom_site_fract_y
_atom_site_fract_z
Mg1 Mg 0.000 0.000 0.000
Tc1 Tc 0.250 0.250 0.250
Sb1 Sb 0.000 0.000 0.500
```

Summary:
**Energy above the most stable polymorph in this dataset**: 0.90 eV per formula unit
**ΔE_f (raw)**: 0.164 eV/atom

***

[3]
First-principles (PBE-GGA) data for Zr2SiSnOs after structural relaxation, as listed in Alexandria.

Cell and atoms, written as CIF:
```
data_Zr2SiSnOs
_chemical_formula_sum 'Zr2 Si1 Sn1 Os1'
_cell_length_a 5.236
_cell_length_b 5.236
_cell_length_c 4.795
_cell_angle_alpha 90.00
_cell_angle_beta 90.00
_cell_angle_gamma 90.00
_symmetry_space_group_name_H-M 'P 4/m m m'
_symmetry_Int_Tables_number 123
_symmetry_space_group_name_Hall '-P 4 2'
loop_
_atom_site_label
_atom_site_type_symbol
_atom_site_fract_x
_atom_site_fract_y
_atom_site_fract_z
Zr1 Zr 0.000 0.500 0.000
Si1 Si 0.000 0.000 0.500
Sn1 Sn 0.500 0.500 0.000
Os1 Os 0.500 0.500 0.500
```

Summary:
**ΔE_f (raw)**: 1.461 eV/atom

***

[4]
First-principles (PBE-GGA) data for LuHfBeRe after structural relaxation, as listed in Alexandria.

Cell and atoms, written as CIF:
```
data_LuHfBeRe
_chemical_formula_sum 'Lu4 Hf4 Be4 Re4'
_cell_length_a 6.588
_cell_length_b 6.588
_cell_length_c 6.588
_cell_angle_alpha 90.00
_cell_angle_beta 90.00
_cell_angle_gamma 90.00
_symmetry_space_group_name_H-M 'F -4 3 m'
_symmetry_Int_Tables_number 216
_symmetry_space_group_name_Hall 'F -4 2 3'
loop_
_atom_site_label
_atom_site_type_symbol
_atom_site_fract_x
_atom_site_fract_y
_atom_site_fract_z
Lu1 Lu 0.000 0.000 0.000
Hf1 Hf 0.000 0.000 0.500
Be1 Be 0.250 0.250 0.250
Re1 Re 0.250 0.250 0.750
```

***

[5]
First-principles (PBE-GGA) data for HoEr2PuS6 after structural relaxation, as listed in Alexandria.

Cell and atoms, written as CIF:
```
data_HoEr2PuS6
_chemical_formula_sum 'Ho3 Er6 Pu3 S18'
_cell_length_a 6.8913
_cell_length_b 6.8913
_cell_length_c 18.5512
_cell_angle_alpha 90.00
_cell_angle_beta 90.00
_cell_angle_gamma 120.00
_symmetry_space_group_name_H-M 'R 3'
_symmetry_Int_Tables_number 146
_symmetry_space_group_name_Hall 'R 3'
loop_
_atom_site_label
_atom_site_type_symbol
_atom_site_fract_x
_atom_site_fract_y
_atom_site_fract_z
Ho1 Ho 0.0000 0.0000 0.0000
Er1 Er 0.0000 0.0000 0.3010
Er2 Er 0.0000 0.0000 0.8001
Pu1 Pu 0.0000 0.0000 0.5013
S1 S 0.0049 0.3052 0.3986
S2 S 0.0116 0.7081 0.8997
```

Summary:
**ΔE_f (raw)**: -1.920 eV/atom

***

[6]
First-principles (PBE-GGA) data for CsInP3 after structural relaxation, as listed in Alexandria.

Cell and atoms, written as CIF:
```
data_CsInP3
_chemical_formula_sum 'Cs1 In1 P3'
_cell_length_a 5.258
_cell_length_b 5.258
_cell_length_c 5.258
_cell_angle_alpha 90.00
_cell_angle_beta 90.00
_cell_angle_gamma 90.00
_symmetry_space_group_name_H-M 'P m -3 m'
_symmetry_Int_Tables_number 221
_symmetry_space_group_name_Hall '-P 4 2 3'
loop_
_atom_site_label
_atom_site_type_symbol
_atom_site_fract_x
_atom_site_fract_y
_atom_site_fract_z
Cs1 Cs 0.000 0.000 0.000
In1 In 0.500 0.500 0.500
P1 P 0.000 0.500 0.500
```

Summary:
**Energy above the most stable polymorph in this dataset**: 0.00 eV per formula unit

***

[7]
First-principles (PBE-GGA) data for Gd3InN after structural relaxation, as listed in Alexandria.

Cell and atoms, written as CIF:
```
data_Gd3InN
_chemical_formula_sum 'Gd3 In1 N1'
_cell_length_a 4.883
_cell_length_b 4.883
_cell_length_c 4.883
_cell_angle_alpha 90.00
_cell_angle_beta 90.00
_cell_angle_gamma 90.00
_symmetry_space_group_name_H-M 'P m -3 m'
_symmetry_Int_Tables_number 221
_symmetry_space_group_name_Hall '-P 4 2 3'
loop_
_atom_site_label
_atom_site_type_symbol
_atom_site_fract_x
_atom_site_fract_y
_atom_site_fract_z
Gd1 Gd 0.000 0.000 0.500
In1 In 0.500 0.500 0.500
N1 N 0.000 0.000 0.000
```

Summary:
**ΔE_f (raw)**: -0.956 eV/atom

***

Electronic total energy / eV per cell: -175.75 -62.37 -30.45 -123.32 -215.99 -16.39 -58.09